(1)
Entry from Alexandria via LeMat-Bulk: a relaxed structure of Sm2ThSc3 (PBE).

For the total energy, the calculation gives -66.904 eV for the cell shown. The value obtained for the energy of formation is 0.4001 eV per atom.

It has space group Immm (No. 71), with a = 3.2458 Å, b = 6.3190 Å, c = 17.3395 Å, α = 90.00°, β = 90.00° and γ = 90.00°. Symmetry generates all atoms from Sm at (0.0000, 0.0000, 0.1814), Th at (0.0000, 0.0000, 0.5000), Sc at (0.0000, 0.5000, 0.1510) and Sc at (0.0000, 0.5000, 0.5000).



(2)
Entry from Alexandria via LeMat-Bulk: a relaxed structure of GaCo3Ir2 (PBE).

For the total energy, the calculation gives -328.209 eV for the cell shown. The value obtained for the energy of formation is 0.1734 eV per atom.

It has space group I4_1/amd (No. 141, origin choice 2), with a = 7.9168 Å, b = 7.9168 Å, c = 10.8695 Å, α = 90.00°, β = 90.00° and γ = 90.00°. Symmetry generates all atoms from Ga at (0.0000, 0.2500, 0.0585), Co at (0.0000, 0.0000, 0.5000), Co at (0.2160, 0.0340, 0.8750) and Ir at (0.0000, 0.0649, 0.2778).



(3)
Entry from Alexandria via LeMat-Bulk: a relaxed structure of RbSi2Tc (PBE).

For the total energy, the calculation gives -71.077 eV for the cell shown. The calculation puts the formation energy without anion corrections at 1.103 eV/atom.

It has space group Fm-3m (No. 225), with a = 6.7378 Å, b = 6.7378 Å, c = 6.7378 Å, α = 90.00°, β = 90.00° and γ = 90.00°. Symmetry generates all atoms from Rb at (0.0000, 0.0000, 0.0000), Si at (0.2500, 0.2500, 0.2500) and Tc at (0.0000, 0.0000, 0.5000).



(4)
Entry from Alexandria via LeMat-Bulk: a relaxed structure of Pr8RuRh3I4 (PBE).

For the total energy, the calculation gives -179.172 eV for the cell shown. The calculation puts the formation energy without anion corrections at -0.864 eV/atom.

It has space group C2/m (No. 12), with a = 14.5483 Å, b = 8.3850 Å, c = 9.5635 Å, α = 90.00°, β = 120.57° and γ = 90.00°. Symmetry generates all atoms from Pr at (0.0198, 0.2463, 0.3132), Pr at (0.2265, 0.0000, 0.6867), Pr at (0.2281, 0.5000, 0.6845), Ru at (0.0000, 0.0000, 0.5000), Rh at (0.0000, 0.5000, 0.5000), Rh at (0.2500, 0.2500, 0.5000), I at (0.0000, 0.0000, 0.0000), I at (0.0000, 0.5000, 0.0000) and I at (0.2500, 0.2500, 0.0000).